No. 1
An optimized crystal structure of K2InAgI4. Source: Alexandria via LeMat-Bulk, functional PBE-GGA.

Space group: Imma (74)
Formation energy from raw total energies (kJ/mol of atoms): -83
Total DFT energy (no corrections) (eV per atom): -2.606
Fermi-level density of states (states/eV per cell): 0.0

Cell and atoms, written as POSCAR:
```
K2InAgI4
1.0
-1.477 9.652 -0.478
-4.828 -0.048 8.501
9.065 -3.557 -0.459
In K Ag I
2 4 2 8
Cartesian
0.642 7.850 3.543
-2.414 -0.024 4.250
-3.153 4.802 4.012
-0.738 4.826 -0.239
3.794 3.048 -0.468
4.533 -1.778 -0.229
1.380 3.024 3.782
7.588 6.096 -0.936
4.310 3.668 5.556
0.671 0.980 5.652
2.925 0.629 1.787
-0.165 5.419 5.777
-1.550 2.380 2.008
-2.173 7.628 1.418
4.934 -1.580 6.147
2.089 5.068 1.912
```

No. 2
An optimized crystal structure of K3In4AgI8. Source: Alexandria via LeMat-Bulk, functional PBE-GGA.

Space group: C2/m (12)
Formation energy from raw total energies (kJ/mol of atoms): -75
Total DFT energy (no corrections) (eV per atom): -2.619
Fermi-level density of states (states/eV per cell): 0.0

Cell and atoms, written as POSCAR:
```
K3In4AgI8
1.0
-4.753 -4.135 7.513
8.221 0.475 5.463
-3.551 8.213 -4.124
I Ag In K
8 1 4 3
Cartesian
3.192 3.488 3.939
4.893 -0.565 5.633
-3.275 1.064 4.912
-2.339 7.412 -0.949
0.826 1.370 7.675
-4.976 5.118 3.219
2.256 -2.860 9.801
-0.909 3.183 1.177
4.111 0.237 2.731
0.000 0.000 0.000
-1.776 4.107 -2.062
-2.377 -2.068 3.756
-4.152 2.039 1.694
2.335 4.344 0.669
-0.041 2.276 4.426
1.734 -1.830 6.488
```

No. 3
An optimized crystal structure of K2InAgI6. Source: Alexandria via LeMat-Bulk, functional PBE-GGA.

Space group: P1 (1)
Formation energy from raw total energies (kJ/mol of atoms): -78
Total DFT energy (no corrections) (eV per atom): -2.514

Cell and atoms, written as POSCAR:
```
K2InAgI6
1.0
-5.982 -2.299 5.503
1.380 -5.278 6.861
0.795 2.876 7.861
I K In Ag
6 2 1 1
Cartesian
-3.163 0.355 10.447
0.673 -0.773 9.653
0.939 -2.342 5.858
-3.193 -1.318 6.488
-0.848 0.313 3.150
-1.294 -2.250 13.055
0.529 2.196 7.602
-2.394 -3.043 9.550
-1.400 -2.295 4.211
-2.711 -4.163 14.685
```

No. 4
An optimized crystal structure of La2InAgI. Source: Alexandria via LeMat-Bulk, functional PBE-GGA.

Space group: P4/mmm (123)
Formation energy from raw total energies (kJ/mol of atoms): 17
Total DFT energy (no corrections) (eV per atom): -3.220
Fermi-level density of states (states/eV per cell): 7.4

Cell and atoms, written as POSCAR:
```
La2InAgI
1.0
-2.757 -0.571 5.103
-4.802 -0.835 -2.688
1.041 -5.734 -0.079
In La Ag I
1 2 1 1
Cartesian
-3.259 -3.570 1.168
0.521 -2.867 -0.039
-1.379 -0.285 2.552
0.000 0.000 0.000
-2.401 -0.418 -1.344
```

No. 5
An optimized crystal structure of LiIn2AgI4. Source: Alexandria via LeMat-Bulk, functional PBE-GGA.

Space group: P2/m (10)
Formation energy from raw total energies (kJ/mol of atoms): -52
Total DFT energy (no corrections) (eV per atom): -2.598
Fermi-level density of states (states/eV per cell): 0.0

Cell and atoms, written as POSCAR:
```
LiIn2AgI4
1.0
4.512 0.000 0.000
0.000 8.311 -0.300
0.000 2.796 7.368
I In Ag Li
4 2 1 1
Cartesian
2.256 4.456 5.297
0.000 8.028 5.414
2.256 6.651 1.771
4.512 3.079 1.653
0.000 2.796 7.368
2.256 1.398 3.684
2.256 6.952 7.218
0.000 5.553 3.534
```

No. 6
An optimized crystal structure of LiIn2AgI8. Source: Alexandria via LeMat-Bulk, functional PBE-GGA.

Space group: I-4m2 (119)
Formation energy from raw total energies (kJ/mol of atoms): -44
Total DFT energy (no corrections) (eV per atom): -2.347

Cell and atoms, written as POSCAR:
```
LiIn2AgI8
1.0
8.643 0.446 0.000
-3.433 7.945 0.000
-2.605 -4.195 7.107
Li I Ag In
1 8 1 2
Cartesian
-1.717 3.972 3.554
4.566 -2.148 5.012
4.078 2.595 5.012
0.390 3.386 1.455
0.257 -2.344 5.652
6.555 1.056 2.095
-0.257 2.344 5.652
2.088 -0.610 2.095
4.820 5.005 1.455
0.000 0.000 0.000
4.322 0.223 3.554
2.605 4.195 0.000
```

No. 7
An optimized crystal structure of LiInAgI5. Source: Alexandria via LeMat-Bulk, functional PBE-GGA.

Space group: C2/c (15)
Formation energy from raw total energies (kJ/mol of atoms): -54
Total DFT energy (no corrections) (eV per atom): -2.470
Fermi-level density of states (states/eV per cell): 0.0

Cell and atoms, written as POSCAR:
```
LiInAgI5
1.0
-7.057 4.159 2.374
0.422 -2.299 8.202
7.858 7.183 -2.125
I Ag Li In
10 2 2 2
Cartesian
6.397 4.813 3.831
-0.908 4.449 5.925
3.134 7.943 4.951
3.198 3.985 7.020
2.131 4.594 2.526
-0.402 8.889 1.374
1.625 0.154 7.078
-1.911 1.100 3.500
-1.975 5.058 1.431
-5.175 4.231 4.620
1.366 7.362 2.752
-0.143 1.681 5.699
3.929 3.592 -1.062
0.000 0.000 0.000
-2.588 3.792 3.794
3.811 5.251 4.657
```

No. 8
An optimized crystal structure of Li2InAgI6. Source: Alexandria via LeMat-Bulk, functional PBE-GGA.

Space group: C2/c (15)
Formation energy from raw total energies (kJ/mol of atoms): -68
Total DFT energy (no corrections) (eV per atom): -2.572
Fermi-level density of states (states/eV per cell): 0.0

Cell and atoms, written as POSCAR:
```
Li2InAgI6
1.0
7.406 0.254 0.264
2.696 10.957 -0.707
2.696 -1.113 10.924
I Ag Li In
12 2 4 2
Cartesian
3.527 2.389 0.133
6.411 9.045 3.730
6.840 5.445 7.381
9.272 7.710 10.347
5.569 9.928 7.956
6.388 1.054 6.750
2.256 2.797 4.634
5.959 4.654 3.099
10.543 7.301 5.846
7.230 0.171 2.524
10.114 3.519 9.309
2.685 6.579 1.171
8.251 1.269 9.010
4.548 8.830 1.470
3.311 5.111 3.649
7.014 3.584 5.374
5.785 6.515 5.106
9.488 4.988 6.831
8.251 8.931 1.627
4.548 1.168 8.853
```

No. 9
An optimized crystal structure of In2AgMoI. Source: Alexandria via LeMat-Bulk, functional PBE-GGA.

Space group: P4/mmm (123)
Formation energy from raw total energies (kJ/mol of atoms): 80
Total DFT energy (no corrections) (eV per atom): -3.309
Fermi-level density of states (states/eV per cell): 3.2

Cell and atoms, written as POSCAR:
```
In2AgMoI
1.0
-2.581 3.793 2.787
1.169 -2.637 4.670
4.566 2.789 0.432
In Ag I Mo
2 1 1 1
Cartesian
2.283 1.395 0.216
-1.291 1.896 1.394
0.000 0.000 0.000
1.577 1.973 3.945
0.584 -1.318 2.335
```

No. 10
An optimized crystal structure of InAgIN2. Source: Alexandria via LeMat-Bulk, functional PBE-GGA.

ΔE to the lowest computed polymorph (meV/atom): 433
Space group: P4/mmm (123)
Formation energy from raw total energies (kJ/mol of atoms): 168
Total DFT energy (no corrections) (eV per atom): -3.013
Fermi-level density of states (states/eV per cell): 4.0

Cell and atoms, written as POSCAR:
```
InAgIN2
1.0
-2.383 1.933 2.690
-4.571 -4.439 -0.858
1.599 -2.230 3.020
Ag I N In
1 1 2 1
Cartesian
-2.677 -2.368 2.426
0.000 0.000 0.000
-1.191 0.967 1.345
0.799 -1.115 1.510
-2.286 -2.220 -0.429
```

No. 11
An optimized crystal structure of InAgI2N. Source: Alexandria via LeMat-Bulk, functional PBE-GGA.

ΔE to the lowest computed polymorph (meV/atom): 0
Space group: P4/mmm (123)
Formation energy from raw total energies (kJ/mol of atoms): 59
Total DFT energy (no corrections) (eV per atom): -2.796
Fermi-level density of states (states/eV per cell): 2.2

Cell and atoms, written as POSCAR:
```
InAgI2N
1.0
-0.616 3.586 -4.774
-5.208 -2.669 -1.334
-1.986 2.724 2.303
Ag I N In
1 2 1 1
Cartesian
0.000 0.000 0.000
-0.308 1.793 -2.387
-2.604 -1.335 -0.667
-0.993 1.362 1.151
-3.905 1.820 -1.902
```

No. 12
An optimized crystal structure of InAgIN2. Source: Alexandria via LeMat-Bulk, functional PBE-GGA.

ΔE to the lowest computed polymorph (meV/atom): 0
Space group: P4/mmm (123)
Formation energy from raw total energies (kJ/mol of atoms): 127
Total DFT energy (no corrections) (eV per atom): -3.445
Fermi-level density of states (states/eV per cell): 2.2

Cell and atoms, written as POSCAR:
```
InAgIN2
1.0
-2.626 -1.693 -2.912
3.362 -1.093 -2.397
0.330 -6.062 3.227
N Ag In I
2 1 1 1
Cartesian
1.681 -0.546 -1.198
-1.313 -0.846 -1.456
0.533 -4.424 -1.041
0.000 0.000 0.000
0.165 -3.031 1.613
```

> formation energy from raw total energies of number 6 (LiIn2AgI8)?

-44 kJ/mol of atoms